[1]
# In8Bi | Alexandria | PBE | relaxed
data_In8Bi
_chemical_formula_sum 'In16 Bi2'
_cell_length_a 10.0291
_cell_length_b 10.0291
_cell_length_c 5.0218
_cell_angle_alpha 90.00
_cell_angle_beta 90.00
_cell_angle_gamma 90.00
_symmetry_space_group_name_H-M 'I 4/m m m'
_symmetry_Int_Tables_number 139
_symmetry_space_group_name_Hall '-I 4 2'
loop_
_atom_site_label
_atom_site_type_symbol
_atom_site_fract_x
_atom_site_fract_y
_atom_site_fract_z
_atom_site_occupancy
In1 In 0.0000 0.3361 0.0000 1
In2 In 0.1676 0.1676 0.5000 1
Bi1 Bi 0.0000 0.0000 0.0000 1
# Fermi-level density of states ... 8.92 states/eV per cell
# Energy ... -51.22 eV per cell
# Total magnetization ... 0.000 μB per atom

[2]
# In4Bi5 | Alexandria | PBE | relaxed
data_In4Bi5
_chemical_formula_sum 'In8 Bi10'
_cell_length_a 12.9432
_cell_length_b 4.3594
_cell_length_c 10.1143
_cell_angle_alpha 90.00
_cell_angle_beta 97.18
_cell_angle_gamma 90.00
_symmetry_space_group_name_H-M 'C 1 2/m 1'
_symmetry_Int_Tables_number 12
loop_
_symmetry_equiv_pos_as_xyz
'x,y,z'
'-x,-y,-z'
'-x,y,-z'
'x,-y,z'
'x+1/2,y+1/2,z'
'-x+1/2,-y+1/2,-z'
'-x+1/2,y+1/2,-z'
'x+1/2,-y+1/2,z'
loop_
_atom_site_label
_atom_site_type_symbol
_atom_site_fract_x
_atom_site_fract_y
_atom_site_fract_z
_atom_site_occupancy
In1 In 0.0070 0.0000 0.1689 1
In2 In 0.1673 0.5000 0.3503 1
Bi1 Bi 0.0000 0.0000 0.5000 1
Bi2 Bi 0.1526 0.5000 0.6761 1
Bi3 Bi 0.1578 0.5000 0.0067 1
# Fermi-level density of states ... 8.47 states/eV per cell
# Energy ... -59.68 eV per cell
# Total magnetization ... 0.000 μB per atom

[3]
# In2Bi | Alexandria | PBE | relaxed
data_In2Bi
_chemical_formula_sum 'In4 Bi2'
_cell_length_a 5.4718
_cell_length_b 5.4718
_cell_length_c 6.8730
_cell_angle_alpha 90.00
_cell_angle_beta 90.00
_cell_angle_gamma 120.00
_symmetry_space_group_name_H-M 'P 63/m m c'
_symmetry_Int_Tables_number 194
_symmetry_space_group_name_Hall '-P 6c 2c'
loop_
_atom_site_label
_atom_site_type_symbol
_atom_site_fract_x
_atom_site_fract_y
_atom_site_fract_z
_atom_site_occupancy
In1 In 0.0000 0.0000 0.0000 1
In2 In 0.3333 0.6667 0.2500 1
Bi1 Bi 0.3333 0.6667 0.7500 1
# Fermi-level density of states ... 3.14 states/eV per cell
# Energy ... -18.53 eV per cell
# Total magnetization ... 0.000 μB per atom

[4]
# InBi3 | Alexandria | PBE | relaxed
data_InBi3
_chemical_formula_sum 'In2 Bi6'
_cell_length_a 3.3779
_cell_length_b 11.5228
_cell_length_c 6.4668
_cell_angle_alpha 90.00
_cell_angle_beta 90.00
_cell_angle_gamma 90.00
_symmetry_space_group_name_H-M 'I m m 2'
_symmetry_Int_Tables_number 44
loop_
_symmetry_equiv_pos_as_xyz
'x,y,z'
'-x,-y,z'
'-x,y,z'
'x,-y,z'
'x+1/2,y+1/2,z+1/2'
'-x+1/2,-y+1/2,z+1/2'
'-x+1/2,y+1/2,z+1/2'
'x+1/2,-y+1/2,z+1/2'
loop_
_atom_site_label
_atom_site_type_symbol
_atom_site_fract_x
_atom_site_fract_y
_atom_site_fract_z
_atom_site_occupancy
In1 In 0.0000 0.0000 0.0000 1
Bi1 Bi 0.0000 0.2798 0.7356 1
Bi2 Bi 0.0000 0.5000 0.0411 1
# Fermi-level density of states ... 4.18 states/eV per cell
# Energy ... -28.19 eV per cell
# Total magnetization ... 0.000 μB per atom

[5]
# InBi4 | Alexandria | PBE | relaxed
data_InBi4
_chemical_formula_sum 'In1 Bi4'
_cell_length_a 5.7389
_cell_length_b 5.7389
_cell_length_c 5.7389
_cell_angle_alpha 90.00
_cell_angle_beta 90.00
_cell_angle_gamma 90.00
_symmetry_space_group_name_H-M 'P m -3 m'
_symmetry_Int_Tables_number 221
_symmetry_space_group_name_Hall '-P 4 2 3'
loop_
_atom_site_label
_atom_site_type_symbol
_atom_site_fract_x
_atom_site_fract_y
_atom_site_fract_z
_atom_site_occupancy
In1 In 0.0000 0.0000 0.0000 1
Bi1 Bi 0.0000 0.0000 0.5000 1
Bi2 Bi 0.5000 0.5000 0.5000 1
# Fermi-level density of states ... 5.64 states/eV per cell
# Energy ... -14.96 eV per cell
# Total magnetization ... 0.000 μB per atom

[6]
# In2Bi | Alexandria | PBE | relaxed
data_In2Bi
_chemical_formula_sum 'In2 Bi1'
_cell_length_a 5.5289
_cell_length_b 5.5289
_cell_length_c 3.3874
_cell_angle_alpha 90.00
_cell_angle_beta 90.00
_cell_angle_gamma 120.00
_symmetry_space_group_name_H-M 'P -6 m 2'
_symmetry_Int_Tables_number 187
_symmetry_space_group_name_Hall 'P -6 2'
loop_
_atom_site_label
_atom_site_type_symbol
_atom_site_fract_x
_atom_site_fract_y
_atom_site_fract_z
_atom_site_occupancy
In1 In 0.0000 0.0000 0.0000 1
In2 In 0.3333 0.6667 0.5000 1
Bi1 Bi 0.6667 0.3333 0.0000 1
# Fermi-level density of states ... 2.54 states/eV per cell
# Energy ... -9.21 eV per cell
# Total magnetization ... 0.000 μB per atom

[7]
# In2Bi | Alexandria | PBE | relaxed
data_In2Bi
_chemical_formula_sum 'In8 Bi4'
_cell_length_a 6.9484
_cell_length_b 5.1542
_cell_length_c 9.9948
_cell_angle_alpha 90.00
_cell_angle_beta 90.00
_cell_angle_gamma 90.00
_symmetry_space_group_name_H-M 'P n m a'
_symmetry_Int_Tables_number 62
loop_
_symmetry_equiv_pos_as_xyz
'x,y,z'
'-x,-y,-z'
'-x+1/2,-y,z+1/2'
'x+1/2,y,-z+1/2'
'x+1/2,-y+1/2,-z+1/2'
'-x+1/2,y+1/2,z+1/2'
'-x,y+1/2,-z'
'x,-y+1/2,z'
loop_
_atom_site_label
_atom_site_type_symbol
_atom_site_fract_x
_atom_site_fract_y
_atom_site_fract_z
_atom_site_occupancy
In1 In 0.0554 0.2500 0.2439 1
In2 In 0.1708 0.2500 0.5926 1
Bi1 Bi 0.2082 0.2500 0.9210 1
# Fermi-level density of states ... 6.13 states/eV per cell
# Energy ... -37.29 eV per cell
# Total magnetization ... 0.000 μB per atom

[8]
# InBi4 | Alexandria | PBE | relaxed
data_InBi4
_chemical_formula_sum 'In4 Bi16'
_cell_length_a 6.3054
_cell_length_b 9.2095
_cell_length_c 11.4286
_cell_angle_alpha 90.00
_cell_angle_beta 96.08
_cell_angle_gamma 90.00
_symmetry_space_group_name_H-M 'C 1 2/m 1'
_symmetry_Int_Tables_number 12
loop_
_symmetry_equiv_pos_as_xyz
'x,y,z'
'-x,-y,-z'
'-x,y,-z'
'x,-y,z'
'x+1/2,y+1/2,z'
'-x+1/2,-y+1/2,-z'
'-x+1/2,y+1/2,-z'
'x+1/2,-y+1/2,z'
loop_
_atom_site_label
_atom_site_type_symbol
_atom_site_fract_x
_atom_site_fract_y
_atom_site_fract_z
_atom_site_occupancy
In1 In 0.0000 0.1759 0.0000 1
Bi1 Bi 0.1384 0.5000 0.1244 1
Bi2 Bi 0.2211 0.1964 0.2934 1
Bi3 Bi 0.2423 0.5000 0.4655 1
# Fermi-level density of states ... 10.83 states/eV per cell
# Energy ... -71.56 eV per cell
# Total magnetization ... 0.000 μB per atom